Compound: ScTi
Source: the Alexandria database
Functional: PBE
Structure: relaxed

The structure in extended XYZ format:
```
6
Lattice="-1.5534 6.6389 3.1032 1.5534 -6.6389 3.1032 1.5534 6.6389 -3.1032" Properties=species:S:1:pos:R:3 pbc="T T T"
Sc 0.0000 0.0000 0.0000
Sc 1.5534 -2.5341 1.3619
Sc 1.5534 2.5341 1.3619
Ti 0.0000 0.0000 2.6273
Ti 0.0000 5.1723 1.1878
Ti 0.0000 8.1055 1.1878
```

## Properties
The density of states at the Fermi level comes out at 8.95 states/eV per cell. Its energy above the most stable polymorph in this dataset is 0.31 eV per formula unit. The symmetry is No. 44. The energy of formation is 23.3 kJ per mole of atoms.

---

Compound: GeSbAs2Br
Source: the Alexandria database
Functional: PBE
Structure: relaxed

The structure in extended XYZ format:
```
5
Lattice="5.0792 0.0000 0.0000 0.0000 5.0792 0.0000 0.0000 0.0000 5.0028" Properties=species:S:1:pos:R:3 pbc="T T T"
Ge 0.0000 0.0000 0.0000
Sb 2.5396 2.5396 2.5014
As 0.0000 2.5396 0.0000
As 2.5396 0.0000 0.0000
Br 0.0000 0.0000 2.5014
```

## Properties
The density of states at the Fermi level comes out at 3.51 states/eV per cell. Its energy above the most stable polymorph in this dataset is 0.00 eV per formula unit. The symmetry is No. 123. The value obtained for the formation energy without anion corrections is 542 meV per atom.

---

Compound: Zr2N2O
Source: the Alexandria database
Functional: PBE
Structure: relaxed

The structure in extended XYZ format:
```
10
Lattice="5.3437 -2.1553 0.0000 5.3437 2.1553 0.0000 -2.9899 0.0000 6.2276" Properties=species:S:1:pos:R:3 pbc="T T T"
Zr -0.6107 0.0000 1.7389
Zr 0.7801 0.0000 5.6492
Zr 6.9174 0.0000 0.5784
Zr 8.3081 0.0000 4.4887
N 1.5496 0.0000 0.2949
N 2.7179 0.0000 4.8188
N 4.9795 0.0000 1.4088
N 6.1478 0.0000 5.9327
O -0.3708 0.0000 3.8418
O 8.0682 0.0000 2.3858
```

## Properties
The density of states at the Fermi level comes out at 0.00 states/eV per cell. The symmetry is No. 12. The value obtained for the formation energy without anion corrections is -1991 meV per atom.

---

Compound: Ac2CeCu6
Source: the Alexandria database
Functional: PBE
Structure: relaxed

The structure in extended XYZ format:
```
9
Lattice="7.5666 0.0000 0.0000 -3.7833 6.5529 0.0000 0.0000 0.0000 3.9444" Properties=species:S:1:pos:R:3 pbc="T T T"
Ac 0.0000 4.3686 0.0000
Ac 3.7833 2.1843 0.0000
Ce 0.0000 0.0000 0.0000
Cu -1.2442 2.1550 1.9722
Cu -2.5391 4.3979 1.9722
Cu 2.4883 0.0000 1.9722
Cu 1.2442 2.1550 1.9722
Cu 5.0782 0.0000 1.9722
Cu 2.5391 4.3979 1.9722
```

## Properties
The density of states at the Fermi level comes out at 10.95 states/eV per cell. The symmetry is No. 191. The energy of formation is -15.3 kJ per mole of atoms.

---

Compound: YCuAg
Source: the Alexandria database
Functional: PBE
Structure: relaxed

The structure in extended XYZ format:
```
3
Lattice="0.0000 3.3486 3.3486 3.3486 0.0000 3.3486 3.3486 3.3486 0.0000" Properties=species:S:1:pos:R:3 pbc="T T T"
Y 0.0000 0.0000 0.0000
Cu 1.6743 1.6743 1.6743
Ag 5.0228 5.0228 5.0228
```

## Properties
The density of states at the Fermi level comes out at 2.29 states/eV per cell. Its energy above the most stable polymorph in this dataset is 1.64 eV per formula unit. The symmetry is No. 216. The energy of formation is 25.6 kJ per mole of atoms.

---

Compound: MgCrFeS4
Source: the Alexandria database
Functional: PBE
Structure: relaxed

The structure in extended XYZ format:
```
14
Lattice="-3.5545 3.5588 4.9626 3.5545 -3.5588 4.9626 3.5545 3.5588 -4.9626" Properties=species:S:1:pos:R:3 pbc="T T T"
Mg 0.0000 1.7794 1.2593
Mg 3.5545 1.7794 3.7034
Cr 3.5545 0.0000 0.0000
Cr 0.0000 0.0000 4.9626
Fe 1.7772 1.7794 -2.4813
Fe 1.7772 -1.7794 2.4813
S 3.5545 -0.2852 2.3958
S 3.5545 3.2736 -2.3958
S 1.9558 1.7794 -0.1616
S 5.1532 1.7794 -0.1616
S -1.5987 1.7794 5.1242
S 1.5987 1.7794 5.1242
S 0.0000 0.2852 7.3584
S 0.0000 3.8440 2.5669
```

## Properties
The density of states at the Fermi level comes out at 9.57 states/eV per cell. The symmetry is No. 74. The value obtained for the formation energy without anion corrections is -716 meV per atom.

---

Compound: Dy3Tc5H12
Source: the Alexandria database
Functional: PBE
Structure: relaxed

The structure in extended XYZ format:
```
80
Lattice="-5.7345 5.7345 5.7345 5.7345 -5.7345 5.7345 5.7345 5.7345 -5.7345" Properties=species:S:1:pos:R:3 pbc="T T T"
Dy 2.8673 1.4336 0.0000
Dy 5.7345 2.8673 -1.4336
Dy 1.4336 0.0000 2.8673
Dy 7.1681 0.0000 2.8673
Dy 0.0000 2.8673 1.4336
Dy 2.8673 -1.4336 5.7345
Dy 2.8673 7.1681 0.0000
Dy 5.7345 2.8673 4.3009
Dy -1.4336 5.7345 2.8673
Dy 4.3009 5.7345 2.8673
Dy 0.0000 2.8673 7.1681
Dy 2.8673 4.3009 5.7345
Tc 0.0000 0.0000 0.0000
Tc 2.8673 2.8673 -2.8673
Tc 2.8673 -2.8673 2.8673
Tc 5.7345 0.0000 0.0000
Tc 8.6018 1.4336 0.0000
Tc 5.7345 -2.8673 4.3009
Tc 4.3009 5.7345 -2.8673
Tc 4.3009 0.0000 2.8673
Tc 2.8673 4.3009 0.0000
Tc 5.7345 2.8673 1.4336
Tc -2.8673 2.8673 2.8673
Tc 0.0000 5.7345 0.0000
Tc 0.0000 0.0000 5.7345
Tc 2.8673 2.8673 2.8673
Tc 0.0000 2.8673 4.3009
Tc 2.8673 1.4336 5.7345
Tc 1.4336 5.7345 2.8673
Tc 1.4336 0.0000 8.6018
Tc 0.0000 8.6018 1.4336
Tc -2.8673 4.3009 5.7345
H 1.6430 -0.3326 0.7042
H 6.9588 3.5714 -3.1999
H 5.4019 -0.7042 1.6430
H 8.9344 -1.2243 2.1631
H 7.3775 0.3326 0.7042
H 6.9588 -2.1631 3.1999
H 0.7042 1.6430 -0.3326
H 7.8976 2.5346 -1.2243
H 3.5714 3.1999 -1.2243
H 5.0304 1.6430 0.3326
H -0.3326 0.7042 1.6430
H 3.1999 -1.2243 3.5714
H 5.4019 5.0304 -1.6430
H 3.1999 1.2243 2.1631
H 5.0304 -1.6430 5.4019
H 3.5714 -3.1999 6.9588
H 2.1631 3.1999 1.2243
H 6.4387 4.0915 0.3326
H 1.6430 5.4019 -0.7042
H 6.9588 2.1631 2.5346
H 3.1999 6.9588 -2.1631
H 5.4019 0.7042 4.0915
H 1.2243 2.1631 3.1999
H 1.6430 0.3326 5.0304
H 4.0915 5.4019 0.7042
H 4.5102 3.5714 2.5346
H 0.3326 5.0304 1.6430
H 2.5346 -1.2243 7.8976
H -1.2243 3.5714 3.1999
H 4.0915 0.3326 6.4387
H -0.7042 1.6430 5.4019
H 3.5714 2.5346 4.5102
H 2.1631 8.9344 -1.2243
H 0.7042 7.3775 0.3326
H 2.5346 4.5102 3.5714
H 0.3326 0.7042 7.3775
H 2.5346 6.9588 2.1631
H 6.0672 5.0304 4.0915
H 0.7042 4.0915 5.4019
H 2.1631 2.5346 6.9588
H -2.1631 3.1999 6.9588
H 5.0304 4.0915 6.0672
H -1.2243 7.8976 2.5346
H -1.6430 5.4019 5.0304
H -3.1999 6.9588 3.5714
H 0.3326 6.4387 4.0915
H -1.2243 2.1631 8.9344
H 4.0915 6.0672 5.0304
```

## Properties
The density of states at the Fermi level comes out at 56.84 states/eV per cell. The symmetry is No. 230. For the total DFT energy (no corrections), the calculation gives -109.15 eV/f.u.

---

Compound: AcPuCu2
Source: the Alexandria database
Functional: PBE
Structure: relaxed

The structure in extended XYZ format:
```
4
Lattice="0.0000 3.6529 3.6529 3.6529 0.0000 3.6529 3.6529 3.6529 0.0000" Properties=species:S:1:pos:R:3 pbc="T T T"
Ac 0.0000 0.0000 0.0000
Pu 3.6529 3.6529 3.6529
Cu 1.8264 1.8264 1.8264
Cu 5.4793 5.4793 5.4793
```

## Properties
The density of states at the Fermi level comes out at 12.44 states/eV per cell. Its energy above the most stable polymorph in this dataset is 0.14 eV per formula unit. The symmetry is No. 225. The energy of formation is 8.6 kJ per mole of atoms.

---

Compound: Ca3PmPa2P6
Source: the Alexandria database
Functional: PBE
Structure: relaxed

The structure in extended XYZ format:
```
12
Lattice="3.5458 -6.1398 0.0000 3.5458 6.1398 0.0000 -2.3669 0.0000 6.6374" Properties=species:S:1:pos:R:3 pbc="T T T"
Ca 0.0000 0.0000 0.0000
Ca 3.5458 2.0138 0.0000
Ca 3.5458 -2.0138 0.0000
Pm 2.3624 0.0000 3.3187
Pa 2.3624 4.0881 3.3187
Pa 2.3624 -4.0881 3.3187
P 1.1333 2.1272 1.7826
P -0.0938 0.0000 4.8618
P 1.1333 -2.1272 1.7826
P 3.5915 2.1272 4.8548
P 4.8186 0.0000 1.7757
P 3.5915 -2.1272 4.8548
```

## Properties
The density of states at the Fermi level comes out at 5.53 states/eV per cell. The symmetry is No. 12. The energy of formation is -126.8 kJ per mole of atoms.

---

Compound: Sr4CeTe5
Source: the Alexandria database
Functional: PBE
Structure: relaxed

The structure in extended XYZ format:
```
10
Lattice="-2.3462 2.3462 16.6664 2.3462 -2.3462 16.6664 2.3462 2.3462 -16.6664" Properties=species:S:1:pos:R:3 pbc="T T T"
Sr 0.0000 0.0000 3.3030
Sr 0.0000 0.0000 10.0194
Sr 0.0000 0.0000 23.3135
Sr 0.0000 0.0000 30.0298
Ce 0.0000 0.0000 16.6664
Te 0.0000 0.0000 0.0000
Te 0.0000 0.0000 6.6518
Te 0.0000 0.0000 13.4067
Te 0.0000 0.0000 19.9262
Te 0.0000 0.0000 26.6810
```

## Properties
The density of states at the Fermi level comes out at 9.80 states/eV per cell. The symmetry is No. 139. The value obtained for the formation energy without anion corrections is -1637 meV per atom.

---

Compound: AgHg2Pd9
Source: the Alexandria database
Functional: PBE
Structure: relaxed

The structure in extended XYZ format:
```
12
Lattice="4.0351 0.0000 0.0000 0.0000 4.0351 0.0000 0.0000 0.0000 12.1037" Properties=species:S:1:pos:R:3 pbc="T T T"
Ag 0.0000 0.0000 0.0000
Hg 0.0000 0.0000 4.0162
Hg 0.0000 0.0000 8.0875
Pd 0.0000 2.0175 1.9754
Pd 0.0000 2.0175 6.0518
Pd 0.0000 2.0175 10.1283
Pd 2.0175 0.0000 1.9754
Pd 2.0175 0.0000 6.0518
Pd 2.0175 0.0000 10.1283
Pd 2.0175 2.0175 0.0000
Pd 2.0175 2.0175 3.9991
Pd 2.0175 2.0175 8.1046
```

## Properties
The density of states at the Fermi level comes out at 17.23 states/eV per cell. The symmetry is No. 123. The energy of formation is -6.3 kJ per mole of atoms.

---

Compound: NaPrSnHg
Source: the Alexandria database
Functional: PBE
Structure: relaxed

The structure in extended XYZ format:
```
4
Lattice="4.2845 0.0000 0.0000 0.0000 4.8975 0.0000 0.0000 0.0000 5.2635" Properties=species:S:1:pos:R:3 pbc="T T T"
Na 0.0000 0.0000 0.0000
Pr 0.0000 2.4488 2.6317
Sn 2.1422 0.0000 2.6317
Hg 2.1422 2.4488 0.0000
```

## Properties
The density of states at the Fermi level comes out at 1.93 states/eV per cell. Its energy above the most stable polymorph in this dataset is 0.11 eV per formula unit. The symmetry is No. 47. The energy of formation is -41.9 kJ per mole of atoms.